Entry from Alexandria: a relaxed Ba2Ca3Pt4 crystal (GGA-PBE).

Cell lengths 8.069, 8.065, 7.885 Å; angles 90.00, 108.82, 90.00 degrees
Sites, in units of the cell vectors:
Ba: 0.192 0.174 0.072
Ba: 0.192 0.326 0.572
Ba: 0.808 0.674 0.428
Ba: 0.808 0.826 0.928
Ca: 0.249 0.673 0.250
Ca: 0.249 0.827 0.750
Ca: 0.500 0.000 0.500
Ca: 0.500 0.500 0.000
Ca: 0.751 0.173 0.250
Ca: 0.751 0.327 0.750
Pt: 0.088 0.538 0.876
Pt: 0.088 0.962 0.376
Pt: 0.499 0.622 0.624
Pt: 0.499 0.878 0.124
Pt: 0.501 0.122 0.876
Pt: 0.501 0.378 0.376
Pt: 0.912 0.038 0.624
Pt: 0.912 0.462 0.124

Results
Uncorrected energy = -4.616 eV per atom
N(E_F) = 8.08 states/eV per cell
Space group = P2_1/c (14)
Calculated formation energy = -0.837 eV/atom

***

Entry from Alexandria: a relaxed BaCaPt3 crystal (GGA-PBE).

Cell lengths 5.431, 5.431, 5.431 Å; angles 90.00, 90.00, 90.00 degrees
Sites, in units of the cell vectors:
Ba: 0.000 0.000 0.000
Ca: 0.500 0.500 0.500
Pt: 0.000 0.000 0.500
Pt: 0.000 0.500 0.000
Pt: 0.500 0.000 0.000

Results
Uncorrected energy = -3.569 eV per atom
N(E_F) = 9.11 states/eV per cell
Energy above the most stable polymorph in this dataset = 15.706 kcal/mol of atoms
Space group = Pm-3m (221)
Calculated formation energy = 0.840 eV/atom

***

Entry from Alexandria: a relaxed Ba4CaPt crystal (GGA-PBE).

Cell lengths 7.278, 7.278, 7.278 Å; angles 60.00, 60.00, 60.00 degrees
Sites, in units of the cell vectors:
Ba: 0.377 0.377 0.377
Ba: 0.377 0.377 0.870
Ba: 0.377 0.870 0.377
Ba: 0.870 0.377 0.377
Ca: 0.000 0.000 0.000
Pt: 0.750 0.750 0.750

Results
Uncorrected energy = -2.090 eV per atom
N(E_F) = 10.48 states/eV per cell
Space group = F-43m (216)
Calculated formation energy = 0.532 eV/atom

***

Entry from Alexandria: a relaxed BaCaPt3 crystal (GGA-PBE).

Cell lengths 5.192, 5.192, 5.192 Å; angles 90.00, 90.00, 90.00 degrees
Sites, in units of the cell vectors:
Ba: 0.000 0.000 0.000
Ca: 0.500 0.500 0.500
Pt: 0.000 0.500 0.500
Pt: 0.500 0.000 0.500
Pt: 0.500 0.500 0.000

Results
Uncorrected energy = -4.251 eV per atom
N(E_F) = 5.70 states/eV per cell
Energy above the most stable polymorph in this dataset = 0.000 kcal/mol of atoms
Space group = Pm-3m (221)
Calculated formation energy = 0.159 eV/atom

***

Entry from Alexandria: a relaxed Ba2Ca4Pt crystal (GGA-PBE).

Cell lengths 11.329, 11.329, 11.329 Å; angles 151.23, 151.23, 41.15 degrees
Sites, in units of the cell vectors:
Ba: 0.178 0.178 0.000
Ba: 0.822 0.822 0.000
Ca: 0.000 0.500 0.500
Ca: 0.370 0.370 0.000
Ca: 0.500 0.000 0.500
Ca: 0.630 0.630 0.000
Pt: 0.500 0.500 0.000

Results
Uncorrected energy = -2.817 eV per atom
N(E_F) = 5.60 states/eV per cell
Space group = I4/mmm (139)
Calculated formation energy = -0.261 eV/atom

***

Entry from Alexandria: a relaxed Ba2Ca2Pt crystal (GGA-PBE).

Cell lengths 7.674, 7.674, 6.627 Å; angles 90.00, 90.00, 90.00 degrees
Sites, in units of the cell vectors:
Ba: 0.181 0.319 0.000
Ba: 0.319 0.819 0.000
Ba: 0.681 0.181 0.000
Ba: 0.819 0.681 0.000
Ca: 0.171 0.671 0.500
Ca: 0.329 0.171 0.500
Ca: 0.671 0.829 0.500
Ca: 0.829 0.329 0.500
Pt: 0.000 0.000 0.500
Pt: 0.500 0.500 0.500

Results
Uncorrected energy = -2.973 eV per atom
N(E_F) = 2.81 states/eV per cell
Space group = P4/mbm (127)
Calculated formation energy = -0.195 eV/atom

***

Entry from Alexandria: a relaxed Ba2CaPt2 crystal (GGA-PBE).

Cell lengths 7.566, 7.566, 7.566 Å; angles 141.82, 141.82, 55.10 degrees
Sites, in units of the cell vectors:
Ba: 0.250 0.750 0.500
Ba: 0.750 0.250 0.500
Ca: 0.000 0.000 0.000
Pt: 0.402 0.402 0.000
Pt: 0.598 0.598 0.000

Results
Uncorrected energy = -3.960 eV per atom
N(E_F) = 0.30 states/eV per cell
Energy above the most stable polymorph in this dataset = 6.978 kcal/mol of atoms
Space group = I4/mmm (139)
Calculated formation energy = -0.374 eV/atom

***

Entry from Alexandria: a relaxed Ba2CaPt2 crystal (GGA-PBE).

Cell lengths 8.359, 8.359, 4.470 Å; angles 90.00, 90.00, 90.00 degrees
Sites, in units of the cell vectors:
Ba: 0.155 0.345 0.000
Ba: 0.345 0.845 0.000
Ba: 0.655 0.155 0.000
Ba: 0.845 0.655 0.000
Ca: 0.000 0.000 0.500
Ca: 0.500 0.500 0.500
Pt: 0.150 0.650 0.500
Pt: 0.350 0.150 0.500
Pt: 0.650 0.850 0.500
Pt: 0.850 0.350 0.500

Results
Uncorrected energy = -4.262 eV per atom
N(E_F) = 0.58 states/eV per cell
Energy above the most stable polymorph in this dataset = 0.024 kcal/mol of atoms
Space group = P4/mbm (127)
Calculated formation energy = -0.676 eV/atom

***

Entry from Alexandria: a relaxed Ba2CaPt9 crystal (GGA-PBE).

Cell lengths 9.650, 9.650, 9.650 Å; angles 33.48, 33.48, 33.48 degrees
Sites, in units of the cell vectors:
Ba: 0.140 0.140 0.140
Ba: 0.860 0.860 0.860
Ca: 0.000 0.000 0.000
Pt: 0.079 0.580 0.580
Pt: 0.332 0.332 0.332
Pt: 0.420 0.420 0.921
Pt: 0.420 0.921 0.420
Pt: 0.500 0.500 0.500
Pt: 0.580 0.079 0.580
Pt: 0.580 0.580 0.079
Pt: 0.668 0.668 0.668
Pt: 0.921 0.420 0.420

Results
Uncorrected energy = -5.633 eV per atom
N(E_F) = 6.85 states/eV per cell
Space group = R-3m (166)
Calculated formation energy = -0.615 eV/atom

***

Entry from Alexandria: a relaxed Ba2CaPt2 crystal (GGA-PBE).

Cell lengths 6.584, 6.584, 6.584 Å; angles 141.11, 115.32, 78.11 degrees
Sites, in units of the cell vectors:
Ba: 0.193 0.193 0.000
Ba: 0.807 0.807 0.000
Ca: 0.500 0.000 0.500
Pt: 0.209 0.500 0.709
Pt: 0.791 0.500 0.291

Results
Uncorrected energy = -4.263 eV per atom
N(E_F) = 2.65 states/eV per cell
Energy above the most stable polymorph in this dataset = 0.000 kcal/mol of atoms
Space group = Immm (71)
Calculated formation energy = -0.677 eV/atom

***

Entry from Alexandria: a relaxed RbBa2CaPt crystal (GGA-PBE).

Cell lengths 6.405, 6.405, 5.903 Å; angles 90.00, 90.00, 90.00 degrees
Sites, in units of the cell vectors:
Rb: 0.000 0.000 0.000
Ba: 0.000 0.500 0.500
Ba: 0.500 0.000 0.500
Ca: 0.500 0.500 0.000
Pt: 0.500 0.500 0.500

Results
Uncorrected energy = -2.925 eV per atom
N(E_F) = 2.74 states/eV per cell
Space group = P4/mmm (123)
Calculated formation energy = -0.354 eV/atom

***

Entry from Alexandria: a relaxed Ba2CaSb3Pt4 crystal (GGA-PBE).

Cell lengths 4.766, 4.766, 11.142 Å; angles 90.00, 90.00, 90.00 degrees
Sites, in units of the cell vectors:
Ba: 0.000 0.500 0.235
Ba: 0.500 0.000 0.765
Ca: 0.000 0.000 0.500
Sb: 0.000 0.500 0.880
Sb: 0.500 0.000 0.120
Sb: 0.500 0.500 0.500
Pt: 0.000 0.000 0.000
Pt: 0.000 0.500 0.640
Pt: 0.500 0.000 0.360
Pt: 0.500 0.500 0.000

Results
Uncorrected energy = -5.098 eV per atom
N(E_F) = 4.33 states/eV per cell
Formation energy (no corrections) = -19.83 kcal/mol of atoms
Space group = P-4m2 (115)